No. 1
Material: ScGa2Ni2
Method: DFT, PBEsol
State: relaxed

Computed properties:
Calculated volume in Å³ per atom: 14.602
M_tot in μB/atom: 0.000
ΔH_f (0 K) in eV per atom: -0.508
Energy in eV/atom: -5.63

Cell: 3.742 3.742 10.428 Å, 90.00 90.00 90.00°
Atoms (fractional coordinates):
Sc 0.000 0.000 0.000
Sc 0.500 0.500 0.500
Ga 0.000 0.000 0.383
Ga 0.000 0.000 0.617
Ga 0.500 0.500 0.117
Ga 0.500 0.500 0.883
Ni 0.000 0.500 0.250
Ni 0.000 0.500 0.750
Ni 0.500 0.000 0.250
Ni 0.500 0.000 0.750


No. 2
Material: ScGaNi2Sn
Method: DFT, PBEsol
State: relaxed

Computed properties:
Calculated volume in Å³ per atom: 20.101
M_tot in μB/atom: 0.000
ΔH_f (0 K) in eV per atom: 0.781
Energy in eV/atom: -4.52

Cell: 4.458 4.458 5.056 Å, 90.00 90.00 90.00°
Atoms (fractional coordinates):
Sc 0.000 0.000 0.000
Ga 0.000 0.000 0.500
Ni 0.000 0.500 0.000
Ni 0.500 0.000 0.000
Sn 0.500 0.500 0.500


No. 3
Material: Ga3SiNi4
Method: DFT, PBEsol
State: relaxed

Computed properties:
Calculated volume in Å³ per atom: 11.835
M_tot in μB/atom: 0.000
Formation energy (no corrections) in eV/atom: -0.51
Energy in eV/atom: -5.56

Cell: 4.558 4.558 4.558 Å, 90.91 90.91 90.91°
Atoms (fractional coordinates):
Ga 0.108 0.600 0.291
Ga 0.291 0.108 0.600
Ga 0.600 0.291 0.108
Si 0.791 0.791 0.791
Ni 0.083 0.083 0.083
Ni 0.310 0.604 0.807
Ni 0.604 0.807 0.310
Ni 0.807 0.310 0.604


No. 4
Material: SmGa4Ni
Method: DFT, PBEsol
State: relaxed

Computed properties:
Calculated volume in Å³ per atom: 16.845
M_tot in μB/atom: 0.000
ΔH_f (0 K) in eV per atom: -0.602
Energy in eV/atom: -4.70

Cell: 7.917 7.917 6.471 Å, 90.00 90.00 150.11°
Atoms (fractional coordinates):
Sm 0.117 0.883 0.750
Sm 0.883 0.117 0.250
Ga 0.073 0.927 0.250
Ga 0.313 0.687 0.552
Ga 0.313 0.687 0.948
Ga 0.500 0.500 0.000
Ga 0.500 0.500 0.500
Ga 0.687 0.313 0.052
Ga 0.687 0.313 0.448
Ga 0.927 0.073 0.750
Ni 0.224 0.776 0.250
Ni 0.776 0.224 0.750


No. 5
Material: SrGa3Ni
Method: DFT, PBEsol
State: relaxed

Computed properties:
Calculated volume in Å³ per atom: 19.599
M_tot in μB/atom: 0.000
ΔH_f (0 K) in eV per atom: -0.352
Energy in eV/atom: -3.96

Cell: 4.610 4.610 4.610 Å, 90.00 90.00 90.00°
Atoms (fractional coordinates):
Sr 0.000 0.000 0.000
Ga 0.000 0.500 0.500
Ga 0.500 0.000 0.500
Ga 0.500 0.500 0.000
Ni 0.500 0.500 0.500


No. 6
Material: Sr2GaTcNi
Method: DFT, PBEsol
State: relaxed

Computed properties:
Calculated volume in Å³ per atom: 27.236
M_tot in μB/atom: 0.000
ΔH_f (0 K) in eV per atom: 0.720
Energy in eV/atom: -4.17

Cell: 5.575 5.575 4.381 Å, 90.00 90.00 90.00°
Atoms (fractional coordinates):
Sr 0.000 0.500 0.000
Sr 0.500 0.000 0.000
Ga 0.000 0.000 0.500
Tc 0.500 0.500 0.000
Ni 0.500 0.500 0.500


No. 7
Material: Ta2ZnGaNi
Method: DFT, PBEsol
State: relaxed

Computed properties:
Calculated volume in Å³ per atom: 18.249
M_tot in μB/atom: 0.001
ΔH_f (0 K) in eV per atom: 1.364
Energy in eV/atom: -5.87

Cell: 4.658 4.658 4.205 Å, 90.00 90.00 90.00°
Atoms (fractional coordinates):
Ta 0.000 0.500 0.000
Ta 0.500 0.000 0.000
Zn 0.000 0.000 0.000
Ga 0.000 0.000 0.500
Ni 0.500 0.500 0.500


No. 8
Material: TbGa2Ni3
Method: DFT, PBEsol
State: relaxed

Computed properties:
Calculated volume in Å³ per atom: 14.402
M_tot in μB/atom: 0.000
ΔH_f (0 K) in eV per atom: -0.581
Energy in eV/atom: -5.61

Cell: 5.144 5.144 3.770 Å, 90.00 90.00 120.00°
Atoms (fractional coordinates):
Tb 0.000 0.000 0.000
Ga 0.333 0.667 0.000
Ga 0.667 0.333 0.000
Ni 0.000 0.500 0.500
Ni 0.500 0.000 0.500
Ni 0.500 0.500 0.500


No. 9
Material: Tb3Ga2Ni6
Method: DFT, PBEsol
State: relaxed

Computed properties:
Calculated volume in Å³ per atom: 15.270
M_tot in μB/atom: 0.000
ΔH_f (0 K) in eV per atom: -0.571
Energy in eV/atom: -5.90

Cell: 7.585 7.585 7.585 Å, 109.47 109.47 109.47°
Atoms (fractional coordinates):
Tb 0.000 0.289 0.289
Tb 0.000 0.711 0.711
Tb 0.289 0.000 0.289
Tb 0.289 0.289 0.000
Tb 0.711 0.000 0.711
Tb 0.711 0.711 0.000
Ga 0.000 0.000 0.500
Ga 0.000 0.500 0.000
Ga 0.500 0.000 0.000
Ga 0.500 0.500 0.500
Ni 0.000 0.338 0.662
Ni 0.000 0.662 0.338
Ni 0.323 0.662 0.662
Ni 0.338 0.000 0.662
Ni 0.338 0.338 0.677
Ni 0.338 0.662 0.000
Ni 0.338 0.677 0.338
Ni 0.662 0.000 0.338
Ni 0.662 0.323 0.662
Ni 0.662 0.338 0.000
Ni 0.662 0.662 0.323
Ni 0.677 0.338 0.338


No. 10
Material: TbGa2Ni
Method: DFT, PBEsol
State: relaxed

Computed properties:
Calculated volume in Å³ per atom: 16.711
M_tot in μB/atom: 0.000
ΔH_f (0 K) in eV per atom: -0.695
Energy in eV/atom: -5.16

Cell: 4.074 9.996 6.566 Å, 90.00 90.00 90.00°
Atoms (fractional coordinates):
Tb 0.000 0.071 0.250
Tb 0.000 0.929 0.750
Tb 0.500 0.429 0.750
Tb 0.500 0.571 0.250
Ga 0.000 0.355 0.054
Ga 0.000 0.355 0.446
Ga 0.000 0.645 0.554
Ga 0.000 0.645 0.946
Ga 0.500 0.145 0.554
Ga 0.500 0.145 0.946
Ga 0.500 0.855 0.054
Ga 0.500 0.855 0.446
Ni 0.000 0.211 0.750
Ni 0.000 0.789 0.250
Ni 0.500 0.289 0.250
Ni 0.500 0.711 0.750


No. 11
Material: TiGaNi6
Method: DFT, PBEsol
State: relaxed

Computed properties:
Calculated volume in Å³ per atom: 11.081
M_tot in μB/atom: 0.001
ΔH_f (0 K) in eV per atom: -0.434
Energy in eV/atom: -6.51

Cell: 3.553 3.553 7.023 Å, 90.00 90.00 90.00°
Atoms (fractional coordinates):
Ti 0.000 0.000 0.000
Ga 0.000 0.000 0.500
Ni 0.000 0.500 0.251
Ni 0.000 0.500 0.749
Ni 0.500 0.000 0.251
Ni 0.500 0.000 0.749
Ni 0.500 0.500 0.000
Ni 0.500 0.500 0.500


No. 12
Material: TmGa2Ni3
Method: DFT, PBEsol
State: relaxed

Computed properties:
Calculated volume in Å³ per atom: 14.145
M_tot in μB/atom: 0.000
ΔH_f (0 K) in eV per atom: -0.585
Energy in eV/atom: -5.59

Cell: 5.101 5.101 3.766 Å, 90.00 90.00 120.00°
Atoms (fractional coordinates):
Tm 0.000 0.000 0.000
Ga 0.333 0.667 0.000
Ga 0.667 0.333 0.000
Ni 0.000 0.500 0.500
Ni 0.500 0.000 0.500
Ni 0.500 0.500 0.500


No. 13
Material: GaNiW3
Method: DFT, PBEsol
State: relaxed

Computed properties:
Calculated volume in Å³ per atom: 17.303
M_tot in μB/atom: 0.000
ΔH_f (0 K) in eV per atom: 1.532
Energy in eV/atom: -8.65

Cell: 4.423 4.423 4.423 Å, 90.00 90.00 90.00°
Atoms (fractional coordinates):
Ga 0.000 0.000 0.000
Ni 0.500 0.500 0.500
W 0.000 0.500 0.500
W 0.500 0.000 0.500
W 0.500 0.500 0.000


No. 14
Material: YGa2Ni3
Method: DFT, PBEsol
State: relaxed

Computed properties:
Calculated volume in Å³ per atom: 14.396
M_tot in μB/atom: 0.000
ΔH_f (0 K) in eV per atom: -0.587
Energy in eV/atom: -5.92

Cell: 5.150 5.150 3.760 Å, 90.00 90.00 120.00°
Atoms (fractional coordinates):
Y 0.000 0.000 0.000
Ga 0.333 0.667 0.000
Ga 0.667 0.333 0.000
Ni 0.000 0.500 0.500
Ni 0.500 0.000 0.500
Ni 0.500 0.500 0.500


No. 15
Material: YGa4Ni
Method: DFT, PBEsol
State: relaxed

Computed properties:
Calculated volume in Å³ per atom: 16.479
M_tot in μB/atom: 0.000
ΔH_f (0 K) in eV per atom: -0.597
Energy in eV/atom: -4.99

Cell: 7.813 7.813 6.474 Å, 90.00 90.00 149.98°
Atoms (fractional coordinates):
Y 0.119 0.881 0.750
Y 0.881 0.119 0.250
Ga 0.071 0.929 0.250
Ga 0.314 0.686 0.551
Ga 0.314 0.686 0.949
Ga 0.500 0.500 0.000
Ga 0.500 0.500 0.500
Ga 0.686 0.314 0.051
Ga 0.686 0.314 0.449
Ga 0.929 0.071 0.750
Ni 0.224 0.776 0.250
Ni 0.776 0.224 0.750


No. 16
Material: YGaNi
Method: DFT, PBEsol
State: relaxed

Computed properties:
Calculated volume in Å³ per atom: 17.259
M_tot in μB/atom: 0.000
ΔH_f (0 K) in eV per atom: -0.679
Energy in eV/atom: -6.12

Cell: 6.763 4.237 7.227 Å, 90.00 90.00 90.00°
Atoms (fractional coordinates):
Y 0.019 0.250 0.194
Y 0.481 0.750 0.694
Y 0.519 0.250 0.306
Y 0.981 0.750 0.806
Ga 0.173 0.250 0.577
Ga 0.327 0.750 0.077
Ga 0.673 0.250 0.923
Ga 0.827 0.750 0.423
Ni 0.210 0.750 0.404
Ni 0.290 0.250 0.904
Ni 0.710 0.750 0.096
Ni 0.790 0.250 0.596


No. 17
Material: ZnGaNi2
Method: DFT, PBEsol
State: relaxed

Computed properties:
Calculated volume in Å³ per atom: 11.648
M_tot in μB/atom: 0.000
ΔH_f (0 K) in eV per atom: -0.368
Energy in eV/atom: -4.68

Cell: 5.712 5.712 5.712 Å, 90.00 90.00 90.00°
Atoms (fractional coordinates):
Zn 0.000 0.000 0.000
Zn 0.000 0.500 0.500
Zn 0.500 0.000 0.500
Zn 0.500 0.500 0.000
Ga 0.000 0.000 0.500
Ga 0.000 0.500 0.000
Ga 0.500 0.000 0.000
Ga 0.500 0.500 0.500
Ni 0.250 0.250 0.250
Ni 0.250 0.250 0.750
Ni 0.250 0.750 0.250
Ni 0.250 0.750 0.750
Ni 0.750 0.250 0.250
Ni 0.750 0.250 0.750
Ni 0.750 0.750 0.250
Ni 0.750 0.750 0.750


No. 18
Material: Zn2GaNi2
Method: DFT, PBEsol
State: relaxed

Computed properties:
Calculated volume in Å³ per atom: 13.296
M_tot in μB/atom: 0.000
ΔH_f (0 K) in eV per atom: -0.015
Energy in eV/atom: -3.78

Cell: 3.317 3.317 12.088 Å, 90.00 90.00 90.00°
Atoms (fractional coordinates):
Zn 0.000 0.500 0.250
Zn 0.000 0.500 0.750
Zn 0.500 0.000 0.250
Zn 0.500 0.000 0.750
Ga 0.000 0.000 0.000
Ga 0.500 0.500 0.500
Ni 0.000 0.000 0.405
Ni 0.000 0.000 0.595
Ni 0.500 0.500 0.095
Ni 0.500 0.500 0.905


No. 19
Material: Zn2GaNi2
Method: DFT, PBEsol
State: relaxed

Computed properties:
Calculated volume in Å³ per atom: 12.880
M_tot in μB/atom: 0.000
ΔH_f (0 K) in eV per atom: -0.215
Energy in eV/atom: -3.98

Cell: 6.121 6.121 3.438 Å, 90.00 90.00 90.00°
Atoms (fractional coordinates):
Zn 0.153 0.347 0.000
Zn 0.347 0.847 0.000
Zn 0.653 0.153 0.000
Zn 0.847 0.653 0.000
Ga 0.000 0.000 0.500
Ga 0.500 0.500 0.500
Ni 0.145 0.645 0.500
Ni 0.355 0.145 0.500
Ni 0.645 0.855 0.500
Ni 0.855 0.355 0.500


No. 20
Material: Zr2Ga2Ni
Method: DFT, PBEsol
State: relaxed

Computed properties:
Calculated volume in Å³ per atom: 16.779
M_tot in μB/atom: 0.000
ΔH_f (0 K) in eV per atom: -0.593
Energy in eV/atom: -6.80

Cell: 6.328 6.328 4.190 Å, 90.00 90.00 90.00°
Atoms (fractional coordinates):
Zr 0.172 0.328 0.000
Zr 0.328 0.828 0.000
Zr 0.672 0.172 0.000
Zr 0.828 0.672 0.000
Ga 0.140 0.640 0.500
Ga 0.360 0.140 0.500
Ga 0.640 0.860 0.500
Ga 0.860 0.360 0.500
Ni 0.000 0.000 0.500
Ni 0.500 0.500 0.500


No. 21
Material: ZrGaNi
Method: DFT, PBEsol
State: relaxed

Computed properties:
Calculated volume in Å³ per atom: 15.240
M_tot in μB/atom: 0.000
ΔH_f (0 K) in eV per atom: -0.703
Energy in eV/atom: -6.90

Cell: 6.804 6.804 3.421 Å, 90.00 90.00 120.00°
Atoms (fractional coordinates):
Zr 0.000 0.404 0.000
Zr 0.404 0.000 0.000
Zr 0.596 0.596 0.000
Ga 0.000 0.741 0.500
Ga 0.259 0.259 0.500
Ga 0.741 0.000 0.500
Ni 0.000 0.000 0.000
Ni 0.333 0.667 0.500
Ni 0.667 0.333 0.500


No. 22
Material: Zr2Ga3Ni
Method: DFT, PBEsol
State: relaxed

Computed properties:
Calculated volume in Å³ per atom: 16.233
M_tot in μB/atom: 0.000
ΔH_f (0 K) in eV per atom: -0.653
Energy in eV/atom: -6.38

Cell: 9.709 4.120 6.491 Å, 90.00 131.38 90.00°
Atoms (fractional coordinates):
Zr 0.000 0.000 0.000
Zr 0.079 0.000 0.577
Zr 0.500 0.500 0.000
Zr 0.579 0.500 0.577
Ga 0.204 0.500 0.403
Ga 0.365 0.000 0.158
Ga 0.396 0.000 0.623
Ga 0.704 0.000 0.403
Ga 0.865 0.500 0.158
Ga 0.896 0.500 0.623
Ni 0.211 0.500 0.022
Ni 0.711 0.000 0.022


No. 23
Material: ZrGa2Ni
Method: DFT, PBEsol
State: relaxed

Computed properties:
Calculated volume in Å³ per atom: 14.989
M_tot in μB/atom: 0.000
ΔH_f (0 K) in eV per atom: -0.652
Energy in eV/atom: -6.13

Cell: 9.532 9.532 9.532 Å, 100.18 100.18 130.27°
Atoms (fractional coordinates):
Zr 0.000 0.000 0.000
Zr 0.063 0.349 0.286
Zr 0.063 0.776 0.714
Zr 0.349 0.063 0.286
Zr 0.368 0.368 0.594
Zr 0.368 0.774 0.000
Zr 0.442 0.442 0.000
Zr 0.774 0.368 0.000
Zr 0.774 0.774 0.406
Zr 0.776 0.063 0.714
Ga 0.089 0.089 0.733
Ga 0.089 0.356 0.000
Ga 0.178 0.672 0.211
Ga 0.178 0.967 0.507
Ga 0.200 0.582 0.618
Ga 0.356 0.089 0.000
Ga 0.356 0.356 0.267
Ga 0.460 0.672 0.493
Ga 0.460 0.967 0.789
Ga 0.570 0.730 0.840
Ga 0.582 0.200 0.618
Ga 0.582 0.965 0.382
Ga 0.672 0.178 0.211
Ga 0.672 0.460 0.493
Ga 0.730 0.570 0.840
Ga 0.730 0.890 0.160
Ga 0.890 0.730 0.160
Ga 0.965 0.582 0.382
Ga 0.967 0.178 0.507
Ga 0.967 0.460 0.789
Ni 0.069 0.069 0.325
Ni 0.069 0.744 0.000
Ni 0.201 0.418 0.783
Ni 0.334 0.834 0.500
Ni 0.418 0.201 0.783
Ni 0.418 0.635 0.217
Ni 0.635 0.418 0.217
Ni 0.744 0.069 0.000
Ni 0.744 0.744 0.675
Ni 0.834 0.334 0.500